Compound: Y2CdHg
Source: the Alexandria database
Functional: PBE
Structure: optimized geometry

CIF file:
```
data_Y2CdHg
_cell_length_a 3.771
_cell_length_b 5.262
_cell_length_c 5.261
_cell_angle_alpha 90.00
_cell_angle_beta 90.00
_cell_angle_gamma 90.00
_symmetry_space_group_name_H-M 'P m m 2'
_symmetry_Int_Tables_number 25
loop_
_symmetry_equiv_pos_as_xyz
'x,y,z'
'-x,-y,z'
'-x,y,z'
'x,-y,z'
loop_
_atom_site_label
_atom_site_fract_x
_atom_site_fract_y
_atom_site_fract_z
Y1 0.000 0.000 0.000
Y2 0.000 0.500 0.499
Cd1 0.500 0.500 0.999
Hg1 0.500 0.000 0.500
```

Output
ΔE to the lowest computed polymorph in meV/atom: 0
Formation energy in eV/atom: -0.431
Electronic total energy in eV/atom: -3.97
Volume in Å³/atom: 26.1
Magnetization in μB per cell: 0.0